Record 1
# CeTmAs2 (GGA-PBE, optimized geometry)
# - magnetization (μB/atom) = 0.21
# - polymorph energy (0 for the lowest one) (kcal/mol of atoms) = 3.82
# - energy of formation from the pure elements (eV per atom) = -1.2965
data_CeTmAs2
_chemical_formula_sum 'Ce3 Tm3 As6'
_symmetry_space_group_name_H-M 'R 3 m'
_symmetry_Int_Tables_number 160
_symmetry_space_group_name_Hall 'R 3 -2"'
_cell_length_a 4.1137
_cell_length_b 4.1137
_cell_length_c 21.0652
_cell_angle_alpha 90.00
_cell_angle_beta 90.00
_cell_angle_gamma 120.00
loop_
_atom_site_label
_atom_site_fract_x
_atom_site_fract_y
_atom_site_fract_z
Ce1 0.0000 0.0000 0.0000
Tm1 0.0000 0.0000 0.1726
As1 0.0000 0.0000 0.4210
As2 0.0000 0.0000 0.5847

Record 2
# Ce4TmAs6 (GGA-PBE, optimized geometry)
# - magnetization (μB/atom) = 0.12
# - energy of formation from the pure elements (eV per atom) = -1.2245
data_Ce4TmAs6
_chemical_formula_sum 'Ce24 Tm6 As36'
_symmetry_space_group_name_H-M 'R -3 c'
_symmetry_Int_Tables_number 167
_symmetry_space_group_name_Hall '-R 3 2"c'
_cell_length_a 11.4668
_cell_length_b 11.4668
_cell_length_c 14.4448
_cell_angle_alpha 90.00
_cell_angle_beta 90.00
_cell_angle_gamma 120.00
loop_
_atom_site_label
_atom_site_fract_x
_atom_site_fract_y
_atom_site_fract_z
Ce1 0.0000 0.0000 0.2500
Ce2 0.0000 0.3818 0.2500
Tm1 0.0000 0.0000 0.0000
As1 0.0294 0.2084 0.3872

Record 3
# Ce3TmAs4 (GGA-PBE, optimized geometry)
# - magnetization (μB/atom) = 0.26
# - polymorph energy (0 for the lowest one) (kcal/mol of atoms) = 0.19
# - energy of formation from the pure elements (eV per atom) = -1.4284
data_Ce3TmAs4
_chemical_formula_sum 'Ce3 Tm1 As4'
_symmetry_space_group_name_H-M 'P m -3 m'
_symmetry_Int_Tables_number 221
_symmetry_space_group_name_Hall '-P 4 2 3'
_cell_length_a 5.910
_cell_length_b 5.910
_cell_length_c 5.910
_cell_angle_alpha 90.00
_cell_angle_beta 90.00
_cell_angle_gamma 90.00
loop_
_atom_site_label
_atom_site_fract_x
_atom_site_fract_y
_atom_site_fract_z
Ce1 0.000 0.000 0.500
Tm1 0.500 0.500 0.500
As1 0.000 0.000 0.000
As2 0.000 0.500 0.500

- Which formula does entry 3 have?
  Ce3TmAs4